VASP calculation (GGA-PBE) on a relaxed structure of Tl3AsF6.

Values from the calculation:
Energy relative to the elements, uncorrected (eV per atom): -1.9121
Calculated volume (Å³/f.u.): 204.2

Unit cell a=11.1616 b=6.4868 c=6.7688 alpha=90.00 beta=123.54 gamma=90.00
With the nearest neighbours (Å) after each atom.
Space group C2/m (No. 12)
Inequivalent atoms, fractional coordinates:
Tl: 0.0000 0.0000 0.0000  6 F 2.76-2.79
Tl: 0.2431 0.0000 0.7254  5 F 2.80-2.91
As: 0.0000 0.5000 0.5000  6 F 2.07-2.09
F: 0.0645 0.2731 0.3583  1 As 2.09
F: 0.2048 0.5000 0.8049  1 As 2.07


VASP calculation (GGA-PBE) on a relaxed structure of KLiTa2.

Values from the calculation:
Calculated volume (Å³/f.u.): 101.5
ΔH_f (0 K) (eV/atom): 1.12

Unit cell a=2.8634 b=6.2872 c=11.2729 alpha=90.00 beta=90.00 gamma=90.00
With the nearest neighbours (Å) after each atom.
Space group Imm2 (No. 44)
Inequivalent atoms, fractional coordinates:
K: 0.0000 0.0000 0.0000  2 K 2.86
Li: 0.0000 0.5000 0.7701  2 Li 2.86, 2 Ta 3.05
Ta: 0.0000 0.0000 0.5090  4 Ta 2.60-2.86
Ta: 0.0000 0.5000 0.2014  4 Ta 2.60-2.86


Question: The highest calculated volume belongs to which entry?
Answer: Tl3AsF6


Question: Among the records above, which one has the lowest calculated volume?
Answer: KLiTa2


Question: Which value of calculated volume does entry 2 give?
Answer: 101.5 Å³/f.u.


Question: What is the calculated volume in the second record?
Answer: 101.5 Å³/f.u.